Computed, not measured: a geometry-optimized YTlBrO2 structure at the PBEsol level of DFT.

a b c (Å): 4.4030 4.4030 5.1571
angles (deg): 90.00 90.00 90.00
With the nearest neighbours (Å) after each atom.
Space group P4/mmm (No. 123)
Symmetry-distinct sites (fractional):
Y 0.0000 0.0000 0.0000 x1  2 Br 2.58
Tl 0.5000 0.5000 0.0000 x1  4 Y 3.11, 8 O 3.39
Br 0.0000 0.0000 0.5000 x1  4 O 2.20
O 0.0000 0.5000 0.5000 x2  2 Br 2.20

mass density = 6.73 g cm⁻³
Fermi-level density of states = 0.583 states/eV/atom
spin magnetization = 0.00 μB per cell
uncorrected energy = -21.42 eV per cell
energy relative to the elements, uncorrected = 80.6 meV per atom